! La3Y3Er5 (PBE-GGA, relaxed); values from VASP
! DFT formation energy: 841 kJ/mol of formula units
! DOS(E_F): 15.35 states/eV/f.u.
! calculated density: 5.81 g/cm³
! M_tot: 0.00 Bohr magnetons per cell
&SYSTEM
  ibrav = 0, nat = 11, ntyp = 3
/
ATOMIC_SPECIES
La 138.91 La.upf
Y 88.91 Y.upf
Er 167.26 Er.upf
CELL_PARAMETERS angstrom
9.604 0.000 0.000
-4.802 8.317 0.000
0.000 0.000 5.441
ATOMIC_POSITIONS crystal
La 0.000 0.638 0.000
La 0.362 0.362 0.000
La 0.638 0.000 0.000
Y 0.000 0.476 0.500
Y 0.476 0.000 0.500
Y 0.524 0.524 0.500
Er 0.000 0.275 0.000
Er 0.275 0.000 0.000
Er 0.333 0.667 0.000
Er 0.667 0.333 0.000
Er 0.725 0.725 0.000